No. 1
VASP calculation (PBE) on LaSi2P after structural relaxation.

Calculated density, g/cm³: 4.51
Formation energy (no corrections), eV per atom: -0.339
D(E_F), states/eV per cell: 2.08

Cell lengths 8.7916, 8.7916, 4.2387 Å; angles 90.00, 90.00, 149.48 degrees
Sites, in units of the cell vectors:
Si  0.5355  0.4645  0.2500
Si  0.2418  0.7582  0.2500
Si  0.7582  0.2418  0.7500
Si  0.4645  0.5355  0.7500
P  0.2963  0.7037  0.7500
P  0.7037  0.2963  0.2500
La  0.1006  0.8994  0.7500
La  0.8994  0.1006  0.2500

No. 2
VASP calculation (PBE) on LuPuPtRh after structural relaxation.

Calculated density, g/cm³: 14.72
Uncorrected energy, eV per cell: -35.52
D(E_F), states/eV per cell: 10.25

Cell lengths 4.8547, 4.8547, 4.8547 Å; angles 60.00, 60.00, 60.00 degrees
Sites, in units of the cell vectors:
Pt  0.2500  0.2500  0.2500
Pu  0.0000  0.0000  0.0000
Rh  0.7500  0.7500  0.7500
Lu  0.5000  0.5000  0.5000

No. 3
VASP calculation (PBE) on Pr2Dy2Er5 after structural relaxation.

Relative energy among the computed polymorphs, kJ/mol of formula units: 0.0
Calculated density, g/cm³: 8.12
D(E_F), states/eV per cell: 29.87

Cell lengths 11.7687, 6.7199, 10.0817 Å; angles 109.47, 125.71, 90.00 degrees
Sites, in units of the cell vectors:
Er  0.9970  0.1608  0.5000
Er  0.3778  0.0295  0.2856
Er  0.4078  0.5295  0.2856
Er  0.0030  0.6608  0.5000
Er  0.2040  0.6545  0.8937
Er  0.7960  0.7609  0.1063
Er  0.8104  0.2609  0.1063
Er  0.6222  0.7439  0.7144
Er  0.5922  0.2439  0.7144
Er  0.1896  0.1545  0.8937
Pr  0.6305  0.1856  0.2538
Pr  0.8768  0.4318  0.7462
Pr  0.1232  0.6856  0.2538
Pr  0.3695  0.9318  0.7462
Dy  0.5000  0.5112  0.0000
Dy  0.2618  0.3579  0.5000
Dy  0.0000  0.0112  0.0000
Dy  0.7382  0.8579  0.5000

No. 4
VASP calculation (PBE) on CoCuTc2 after structural relaxation.

Relative energy among the computed polymorphs, kJ/mol of formula units: 29.5
Calculated density, g/cm³: 10.21
D(E_F), states/eV per cell: 5.15

Cell lengths 4.6882, 4.6882, 4.6882 Å; angles 134.36, 134.39, 66.51 degrees
Sites, in units of the cell vectors:
Co  0.7500  0.2500  0.5000
Tc  0.0000  0.0000  0.0000
Tc  0.5000  0.5000  0.0000
Cu  0.2500  0.7500  0.5000